! MgZnSb2 | the Alexandria database | GGA-PBEsol | optimized geometry; values from VASP
&SYSTEM
  ibrav = 0, nat = 4, ntyp = 3
/
ATOMIC_SPECIES
Mg 24.30 Mg.upf
Zn 65.41 Zn.upf
Sb 121.76 Sb.upf
CELL_PARAMETERS angstrom
0.0000 3.5469 3.5469
3.5469 0.0000 3.5469
3.5469 3.5469 0.0000
ATOMIC_POSITIONS angstrom
Mg 0.0000 0.0000 0.0000
Zn 3.5469 3.5469 3.5469
Sb 1.7735 1.7735 1.7735
Sb 5.3204 5.3204 5.3204
! Total moment ... 0.0 μB per cell
! Space group ... No. 225
! E_form (uncorrected) ... 0.0724 eV per atom

! Mg3ZnSb | the Alexandria database | GGA-PBEsol | optimized geometry; values from VASP
&SYSTEM
  ibrav = 0, nat = 5, ntyp = 3
/
ATOMIC_SPECIES
Mg 24.30 Mg.upf
Zn 65.41 Zn.upf
Sb 121.76 Sb.upf
CELL_PARAMETERS angstrom
4.9356 0.0000 0.0000
0.0000 4.9356 0.0000
0.0000 0.0000 4.9356
ATOMIC_POSITIONS angstrom
Mg 0.0000 0.0000 2.4678
Mg 0.0000 2.4678 0.0000
Mg 2.4678 0.0000 0.0000
Zn 0.0000 0.0000 0.0000
Sb 2.4678 2.4678 2.4678
! Total moment ... 0.0 μB per cell
! Space group ... No. 221
! E_form (uncorrected) ... 0.1563 eV per atom

! Mg2ZnSb2 | the Alexandria database | GGA-PBEsol | optimized geometry; values from VASP
&SYSTEM
  ibrav = 0, nat = 5, ntyp = 3
/
ATOMIC_SPECIES
Mg 24.30 Mg.upf
Zn 65.41 Zn.upf
Sb 121.76 Sb.upf
CELL_PARAMETERS angstrom
-2.5360 2.5360 5.3667
2.5360 -2.5360 5.3667
2.5360 2.5360 -5.3667
ATOMIC_POSITIONS angstrom
Mg 2.5360 0.0000 2.6833
Mg 0.0000 2.5360 2.6833
Zn 0.0000 0.0000 0.0000
Sb 0.0000 0.0000 3.9900
Sb 0.0000 0.0000 6.7433
! Total moment ... 0.0 μB per cell
! Space group ... No. 139
! E_form (uncorrected) ... 0.0071 eV per atom